The following is a PBE-GGA calculation of a relaxed CsSn2Sb2 crystal, from Alexandria via LeMat-Bulk.

Summary:
Offset from the most stable computed form: 0.133 eV per atom
Calculated density: 5.80 Mg/m³

a b c (Å): 9.418 9.418 3.965
angles (deg): 90.00 90.00 90.00
Space group P4/mbm (No. 127)
One atom of each set of equivalent atoms:
Cs 0.000 0.000 0.000
Sn 0.135 0.365 0.500
Sb 0.126 0.626 0.000